An optimized crystal structure of PmMnPd, computed with PBE.

Cell lengths 5.593, 8.016, 7.832 Å; angles 133.62, 90.00, 90.00 degrees
Sites, in units of the cell vectors:
Pd  0.867  0.307  0.825
Mn  0.096  0.921  0.623
Pm  0.117  0.297  0.176
Mn  0.904  0.079  0.377
Pd  0.633  0.307  0.325
Pd  0.133  0.693  0.175
Pm  0.883  0.703  0.824
Mn  0.404  0.921  0.123
Pd  0.367  0.693  0.675
Mn  0.596  0.079  0.877
Pm  0.617  0.703  0.324
Pm  0.383  0.297  0.676

Output
- DOS(E_F): 1.008 states/eV/atom
- ΔE_f: -0.30 eV per atom